Record 1
First-principles (PBE) data for a relaxed SrMg2 crystal, as listed in the Alexandria database.

Cell: 8.0353 8.0353 5.6859 Å, 90.00 90.00 120.00°
With the nearest neighbours (Å) after each atom.
Fractional positions:
Sr: 0.0000 0.0000 0.0000  6 Mg 3.34
Sr: 0.3333 0.6667 0.5000  3 Mg 3.24
Sr: 0.6667 0.3333 0.5000  3 Mg 3.24
Mg: 0.0000 0.2187 0.5000  2 Mg 3.04, 4 Sr 3.24-3.34
Mg: 0.0000 0.4683 0.0000  2 Mg 3.48, 5 Sr 3.68-3.76
Mg: 0.2187 0.0000 0.5000  2 Mg 3.04, 4 Sr 3.24-3.34
Mg: 0.4683 0.0000 0.0000  2 Mg 3.48, 5 Sr 3.68-3.76
Mg: 0.5317 0.5317 0.0000  2 Mg 3.48, 5 Sr 3.68-3.76
Mg: 0.7813 0.7813 0.5000  2 Mg 3.04, 4 Sr 3.24-3.34

E_form (eV/atom): 0.174
ρ (g cm⁻³): 2.13
Size of the total moment (μB per formula unit): 0.0
E_tot (eV/cell): -13.05

Record 2
First-principles (PBE) data for a relaxed Ac6La2PrSm crystal, as listed in the Alexandria database.

Cell: 7.0800 7.0800 10.0194 Å, 107.79 107.79 63.55°
With the nearest neighbours (Å) after each atom.
Fractional positions:
Ac: 0.0546 0.5565 0.2041  2 La 3.47-3.67, 1 Sm 3.58, 3 Ac 3.71-3.82
Ac: 0.1291 0.1291 0.4167  1 Pr 3.90, 7 Ac 3.98-4.15, 3 Sm 4.24
Ac: 0.4435 0.9454 0.7959  2 La 3.47-3.67, 1 Sm 3.58, 3 Ac 3.71-3.82
Ac: 0.5565 0.0546 0.2041  2 La 3.47-3.67, 1 Sm 3.58, 3 Ac 3.71-3.82
Ac: 0.8709 0.8709 0.5833  1 Pr 3.90, 7 Ac 3.98-4.15, 3 Sm 4.24
Ac: 0.9454 0.4435 0.7959  2 La 3.47-3.67, 1 Sm 3.58, 3 Ac 3.71-3.82
La: 0.4488 0.4488 0.8427  1 La 2.94
La: 0.5512 0.5512 0.1573  1 La 2.94
Pr: 0.0000 0.0000 0.0000  10 Ac 3.90-4.07, 4 La 4.01
Sm: 0.5000 0.5000 0.5000  4 Ac 3.58, 2 La 3.70

E_form (eV/atom): 0.176
ρ (g cm⁻³): 7.64
Size of the total moment (μB per formula unit): 0.0
E_tot (eV/cell): -42.24

Record 3
First-principles (PBE) data for a relaxed GaCu6 crystal, as listed in the Alexandria database.

Cell: 5.6354 5.6354 5.6354 Å, 109.47 109.47 109.47°
With the nearest neighbours (Å) after each atom.
Fractional positions:
Ga: 0.0000 0.0000 0.0000  24 Cu 3.64
Cu: 0.2500 0.5000 0.7500  4 Cu 2.30
Cu: 0.2500 0.7500 0.5000  4 Cu 2.30
Cu: 0.5000 0.2500 0.7500  4 Cu 2.30
Cu: 0.5000 0.7500 0.2500  4 Cu 2.30
Cu: 0.7500 0.2500 0.5000  4 Cu 2.30
Cu: 0.7500 0.5000 0.2500  4 Cu 2.30

E_form (eV/atom): 0.810
ρ (g cm⁻³): 5.44
Size of the total moment (μB per formula unit): 0.0
E_tot (eV/cell): -21.93